# PrErCuGe, optimized geometry, DFT PBE
data_PrErCuGe
_chemical_formula_sum 'Pr4 Er4 Cu4 Ge4'
_cell_length_a 7.157
_cell_length_b 7.157
_cell_length_c 7.157
_cell_angle_alpha 90.00
_cell_angle_beta 90.00
_cell_angle_gamma 90.00
_symmetry_space_group_name_H-M 'F -4 3 m'
_symmetry_Int_Tables_number 216
_symmetry_space_group_name_Hall 'F -4 2 3'
loop_
_atom_site_label
_atom_site_type_symbol
_atom_site_fract_x
_atom_site_fract_y
_atom_site_fract_z
Pr1 Pr 0.000 0.000 0.000
Er1 Er 0.000 0.000 0.500
Cu1 Cu 0.250 0.250 0.750
Ge1 Ge 0.250 0.250 0.250
# * raw total energy: -4.97 eV/atom
# * ρ: 8.050 g/cm³
# * volume: 22.9 Å³/atom

***

# PrEr2Cu2Ge2, optimized geometry, DFT PBE
data_PrEr2Cu2Ge2
_chemical_formula_sum 'Pr3 Er6 Cu6 Ge6'
_cell_length_a 4.3314
_cell_length_b 4.3314
_cell_length_c 27.8246
_cell_angle_alpha 90.00
_cell_angle_beta 90.00
_cell_angle_gamma 120.00
_symmetry_space_group_name_H-M 'R -3 m'
_symmetry_Int_Tables_number 166
_symmetry_space_group_name_Hall '-R 3 2"'
loop_
_atom_site_label
_atom_site_type_symbol
_atom_site_fract_x
_atom_site_fract_y
_atom_site_fract_z
Pr1 Pr 0.0000 0.0000 0.0000
Er1 Er 0.0000 0.0000 0.1282
Cu1 Cu 0.0000 0.0000 0.4074
Ge1 Ge 0.0000 0.0000 0.2584
# * raw total energy: -4.97 eV/atom
# * ρ: 8.240 g/cm³
# * volume: 21.5 Å³/atom

***

# Er2CuGe4Pt3, optimized geometry, DFT PBE
data_Er2CuGe4Pt3
_chemical_formula_sum 'Er2 Cu1 Ge4 Pt3'
_cell_length_a 4.124
_cell_length_b 4.124
_cell_length_c 10.771
_cell_angle_alpha 90.00
_cell_angle_beta 90.00
_cell_angle_gamma 90.00
_symmetry_space_group_name_H-M 'P -4 m 2'
_symmetry_Int_Tables_number 115
loop_
_symmetry_equiv_pos_as_xyz
'x,y,z'
'y,-x,-z'
'-x,-y,z'
'-y,x,-z'
'-x,y,z'
'-y,-x,-z'
'x,-y,z'
'y,x,-z'
loop_
_atom_site_label
_atom_site_type_symbol
_atom_site_fract_x
_atom_site_fract_y
_atom_site_fract_z
Er1 Er 0.000 0.500 0.234
Cu1 Cu 0.500 0.500 0.000
Ge1 Ge 0.000 0.000 0.500
Ge2 Ge 0.000 0.500 0.867
Ge3 Ge 0.500 0.500 0.500
Pt1 Pt 0.000 0.000 0.000
Pt2 Pt 0.000 0.500 0.640
# * raw total energy: -5.76 eV/atom
# * ρ: 11.545 g/cm³
# * volume: 18.3 Å³/atom

***

# ErPuCuGe, optimized geometry, DFT PBE
data_ErPuCuGe
_chemical_formula_sum 'Er4 Pu4 Cu4 Ge4'
_cell_length_a 7.017
_cell_length_b 7.017
_cell_length_c 7.017
_cell_angle_alpha 90.00
_cell_angle_beta 90.00
_cell_angle_gamma 90.00
_symmetry_space_group_name_H-M 'F -4 3 m'
_symmetry_Int_Tables_number 216
_symmetry_space_group_name_Hall 'F -4 2 3'
loop_
_atom_site_label
_atom_site_type_symbol
_atom_site_fract_x
_atom_site_fract_y
_atom_site_fract_z
Er1 Er 0.000 0.000 0.000
Pu1 Pu 0.000 0.000 0.500
Cu1 Cu 0.250 0.250 0.750
Ge1 Ge 0.250 0.250 0.250
# * raw total energy: -7.24 eV/atom
# * ρ: 10.526 g/cm³
# * volume: 21.6 Å³/atom